# CdNi2Au, optimized geometry, DFT PBE-GGA
# Calculated formation energy ... 0.05 eV/atom
# Raw total energy ... -3.89 eV per atom
# Total magnetic moment ... 0.00 μB/cell
# Space-group type ... P4/mmm, No. 123
# N(E_F) ... 1.092 states/eV per atom
data_CdNi2Au
_symmetry_space_group_name_H-M 'P 1'
_symmetry_Int_Tables_number 1
_symmetry_space_group_name_Hall 'P 1'
_cell_length_a 4.1629
_cell_length_b 4.1621
_cell_length_c 3.4163
_cell_angle_alpha 90.00
_cell_angle_beta 90.00
_cell_angle_gamma 90.00
loop_
_atom_site_label
_atom_site_fract_x
_atom_site_fract_y
_atom_site_fract_z
Cd1 0.0000 0.5000 0.5000
Ni1 0.0000 0.0000 0.0000
Au1 0.5000 0.0000 0.5000
Ni2 0.5000 0.5000 0.0000